# PaAsOs | Alexandria | PBE | relaxed
# Calculated volume ... 20.16 Å³/atom
# Spin magnetization ... 0.00 μB per atom
# Density of states at the Fermi level ... 11.45 states/eV per cell
# Energy of formation ... -0.0138 eV/atom
data_PaAsOs
_chemical_formula_sum 'Pa4 As4 Os4'
_cell_length_a 3.192
_cell_length_b 14.625
_cell_length_c 5.182
_cell_angle_alpha 90.00
_cell_angle_beta 90.00
_cell_angle_gamma 90.00
_space_group_name_H-M_alt 'C m c m'
_space_group_IT_number 63
_space_group_name_Hall '-C 2c 2'
loop_
_atom_site_label
_atom_site_type_symbol
_atom_site_fract_x
_atom_site_fract_y
_atom_site_fract_z
Pa1 Pa 0.000 0.179 0.250
As1 As 0.000 0.000 0.000
Os1 Os 0.000 0.358 0.250